Entry 1:
Below is an optimized crystal structure of AgTe2Br, with properties calculated at the GGA-PBE level.

a = 12.5879 Å, b = 12.5879 Å, c = 12.5879 Å
α = 14.88°, β = 14.88°, γ = 14.88°
Last column: nearest neighbours and their distance in Å.
Positions (direct):
Ag: 0.0000 0.0000 0.0000  2 Te 2.69
Te: 0.0722 0.0722 0.0722  1 Ag 2.69
Te: 0.9278 0.9278 0.9278  1 Ag 2.69
Br: 0.5000 0.5000 0.5000  6 Br 3.26

Calculated values
The value obtained for the total energy is -2.51 eV/atom. The value obtained for the density of states at the Fermi level is 2.12 states/eV per cell. Its symmetry is R-3m (166). The value obtained for the calculated density is 6.4 g/cm3.

Entry 2:
Below is an optimized crystal structure of La3YMg4, with properties calculated at the GGA-PBE level.

a = 3.9131 Å, b = 3.9131 Å, c = 15.7602 Å
α = 90.00°, β = 90.00°, γ = 90.00°
Last column: nearest neighbours and their distance in Å.
Positions (direct):
La: 0.0000 0.0000 0.0000  8 Mg 3.42
La: 0.0000 0.0000 0.2562  8 Mg 3.43-3.44
La: 0.0000 0.0000 0.7438  8 Mg 3.43-3.44
Y: 0.0000 0.0000 0.5000  8 Mg 3.30
Mg: 0.5000 0.5000 0.1278  8 La 3.42-3.43
Mg: 0.5000 0.5000 0.3856  4 Y 3.30, 4 La 3.44, 1 Mg 3.61
Mg: 0.5000 0.5000 0.6144  4 Y 3.30, 4 La 3.44, 1 Mg 3.61
Mg: 0.5000 0.5000 0.8722  8 La 3.42-3.43

Calculated values
The value obtained for the density of states at the Fermi level is 10.20 states/eV per cell. Its symmetry is P4/mmm (123). The value obtained for the calculated density is 4.1 g/cm3. The calculated formation energy comes out at -11 kJ/mol of atoms.

Entry 3:
Below is an optimized crystal structure of BaNa11, with properties calculated at the GGA-PBE level.

a = 11.9507 Å, b = 11.9507 Å, c = 3.8753 Å
α = 90.00°, β = 90.00°, γ = 120.00°
Last column: nearest neighbours and their distance in Å.
Positions (direct):
Ba: 0.0000 0.0000 0.0000  2 Ba 3.88, 12 Na 4.16
Na: 0.0000 0.5000 0.0000  10 Na 3.45-3.86
Na: 0.1780 0.3560 0.5000  10 Na 3.68-3.88
Na: 0.1780 0.8220 0.5000  10 Na 3.68-3.88
Na: 0.3333 0.6667 0.0000  9 Na 3.45-3.75
Na: 0.3560 0.1780 0.5000  10 Na 3.68-3.88
Na: 0.5000 0.0000 0.0000  10 Na 3.45-3.86
Na: 0.5000 0.5000 0.0000  10 Na 3.45-3.86
Na: 0.6440 0.8220 0.5000  10 Na 3.68-3.88
Na: 0.6667 0.3333 0.0000  9 Na 3.45-3.75
Na: 0.8220 0.1780 0.5000  10 Na 3.68-3.88
Na: 0.8220 0.6440 0.5000  10 Na 3.68-3.88

Calculated values
The value obtained for the density of states at the Fermi level is 8.99 states/eV per cell. Its symmetry is P6/mmm (191). The value obtained for the calculated density is 1.4 g/cm3. The calculated formation energy comes out at 3 kJ/mol of atoms.

Entry 4:
Below is an optimized crystal structure of La2Mg2Ge3, with properties calculated at the GGA-PBE level.

a = 8.3686 Å, b = 8.3686 Å, c = 12.5114 Å
α = 124.96°, β = 124.96°, γ = 30.97°
Last column: nearest neighbours and their distance in Å.
Positions (direct):
La: 0.1082 0.1082 0.4480  7 Ge 3.05-3.40
La: 0.2326 0.2326 0.8337  6 Ge 3.05-3.24
La: 0.7674 0.7674 0.1663  6 Ge 3.05-3.24
La: 0.8918 0.8918 0.5520  7 Ge 3.05-3.40
Mg: 0.0890 0.0890 0.1565  4 Ge 2.72-2.86
Mg: 0.4537 0.4537 0.1759  4 Ge 2.70-2.87
Mg: 0.5463 0.5463 0.8241  4 Ge 2.70-2.87
Mg: 0.9110 0.9110 0.8435  4 Ge 2.72-2.86
Ge: 0.1285 0.1285 0.9729  4 Mg 2.70-2.86
Ge: 0.3369 0.3369 0.6811  3 Mg 2.72-2.77
Ge: 0.4242 0.4242 0.3806  1 Ge 2.49
Ge: 0.5758 0.5758 0.6194  1 Ge 2.49
Ge: 0.6631 0.6631 0.3189  3 Mg 2.72-2.77
Ge: 0.8715 0.8715 0.0271  4 Mg 2.70-2.86

Calculated values
The value obtained for the density of states at the Fermi level is 7.46 states/eV per cell. Its symmetry is C2/m (12). The value obtained for the calculated density is 5.0 g/cm3. The calculated formation energy comes out at -59 kJ/mol of atoms.

Entry 5:
Below is an optimized crystal structure of Mg2BeTlGa, with properties calculated at the GGA-PBE level.

a = 5.3925 Å, b = 5.3925 Å, c = 4.5218 Å
α = 90.00°, β = 90.00°, γ = 90.00°
Last column: nearest neighbours and their distance in Å.
Positions (direct):
Mg: 0.0000 0.5000 0.0000  2 Tl 2.70
Mg: 0.5000 0.0000 0.0000  2 Tl 2.70
Be: 0.0000 0.0000 0.5000  2 Tl 2.26
Tl: 0.0000 0.0000 0.0000  2 Be 2.26
Ga: 0.5000 0.5000 0.5000  8 Mg 3.52, 4 Be 3.81

Calculated values
The value obtained for the density of states at the Fermi level is 1.58 states/eV per cell. Its symmetry is P4/mmm (123). The value obtained for the calculated density is 4.2 g/cm3. The calculated formation energy comes out at 59 kJ/mol of atoms.

Entry 6:
Below is an optimized crystal structure of Ce2SmSe3, with properties calculated at the GGA-PBE level.

a = 4.1380 Å, b = 4.1380 Å, c = 21.1643 Å
α = 90.00°, β = 90.00°, γ = 120.00°
Last column: nearest neighbours and their distance in Å.
Positions (direct):
Ce: 0.3333 0.6667 0.0822  6 Se 2.96-2.98
Ce: 0.3333 0.6667 0.4178  6 Se 2.96-2.98
Ce: 0.6667 0.3333 0.5822  6 Se 2.96-2.98
Ce: 0.6667 0.3333 0.9178  6 Se 2.96-2.98
Sm: 0.0000 0.0000 0.2500  6 Se 2.98
Sm: 0.0000 0.0000 0.7500  6 Se 2.98
Se: 0.0000 0.0000 0.0000  6 Ce 2.96
Se: 0.0000 0.0000 0.5000  6 Ce 2.96
Se: 0.3333 0.6667 0.6662  3 Sm 2.98, 3 Ce 2.98
Se: 0.3333 0.6667 0.8338  3 Sm 2.98, 3 Ce 2.98
Se: 0.6667 0.3333 0.1662  3 Sm 2.98, 3 Ce 2.98
Se: 0.6667 0.3333 0.3338  3 Sm 2.98, 3 Ce 2.98

Calculated values
The value obtained for the total energy is -6.31 eV/atom. The value obtained for the density of states at the Fermi level is 25.26 states/eV per cell. Its symmetry is P6_3/mmc (194). The value obtained for the calculated density is 7.1 g/cm3.

Entry 7:
Below is an optimized crystal structure of Cs2ZrHgI6, with properties calculated at the GGA-PBE level.

a = 19.9267 Å, b = 19.9267 Å, c = 19.9267 Å
α = 24.31°, β = 24.31°, γ = 24.31°
Last column: nearest neighbours and their distance in Å.
Positions (direct):
Cs: 0.1413 0.1413 0.1413  9 I 4.03-4.20
Cs: 0.3093 0.3093 0.3093  9 I 3.97-4.21
Cs: 0.6907 0.6907 0.6907  9 I 3.97-4.21
Cs: 0.8587 0.8587 0.8587  9 I 4.03-4.20
Zr: 0.0000 0.0000 0.0000  6 I 2.89
Zr: 0.5000 0.5000 0.5000  6 I 2.89
Hg: 0.4151 0.4151 0.4151  6 I 3.95-4.00
Hg: 0.5849 0.5849 0.5849  6 I 3.95-4.00
I: 0.1478 0.6325 0.6325  1 Zr 2.89
I: 0.1906 0.1906 0.7062  1 Zr 2.89
I: 0.1906 0.7062 0.1906  1 Zr 2.89
I: 0.2938 0.8094 0.8094  1 Zr 2.89
I: 0.3675 0.3675 0.8522  1 Zr 2.89
I: 0.3675 0.8522 0.3675  1 Zr 2.89
I: 0.6325 0.1478 0.6325  1 Zr 2.89
I: 0.6325 0.6325 0.1478  1 Zr 2.89
I: 0.7062 0.1906 0.1906  1 Zr 2.89
I: 0.8094 0.2938 0.8094  1 Zr 2.89
I: 0.8094 0.8094 0.2938  1 Zr 2.89
I: 0.8522 0.3675 0.3675  1 Zr 2.89

Calculated values
The value obtained for the total energy is -3.07 eV/atom. The value obtained for the density of states at the Fermi level is 0.00 states/eV per cell. Its symmetry is R-3m (166). The value obtained for the calculated density is 3.7 g/cm3.

Entry 8:
Below is an optimized crystal structure of TbY3H, with properties calculated at the GGA-PBE level.

a = 5.0164 Å, b = 5.0164 Å, c = 5.0164 Å
α = 90.00°, β = 90.00°, γ = 90.00°
Last column: nearest neighbours and their distance in Å.
Positions (direct):
Tb: 0.0000 0.0000 0.0000  12 Y 3.55
Y: 0.0000 0.5000 0.5000  2 H 2.51
Y: 0.5000 0.0000 0.5000  2 H 2.51
Y: 0.5000 0.5000 0.0000  2 H 2.51
H: 0.5000 0.5000 0.5000  6 Y 2.51

Calculated values
The value obtained for the total energy is -5.63 eV/atom. The value obtained for the density of states at the Fermi level is 5.07 states/eV per cell. Its symmetry is Pm-3m (221). The value obtained for the calculated density is 5.6 g/cm3.

Entry 9:
Below is an optimized crystal structure of MnCuCl3, with properties calculated at the GGA-PBE level.

a = 4.7430 Å, b = 4.7430 Å, c = 4.7430 Å
α = 90.00°, β = 90.00°, γ = 90.00°
Last column: nearest neighbours and their distance in Å.
Positions (direct):
Mn: 0.0000 0.0000 0.0000  12 Cl 3.35
Cu: 0.5000 0.5000 0.5000  6 Cl 2.37
Cl: 0.0000 0.5000 0.5000  2 Cu 2.37
Cl: 0.5000 0.0000 0.5000  2 Cu 2.37
Cl: 0.5000 0.5000 0.0000  2 Cu 2.37

Calculated values
The value obtained for the total energy is -3.93 eV/atom. The value obtained for the density of states at the Fermi level is 5.55 states/eV per cell. Its symmetry is Pm-3m (221). The value obtained for the calculated density is 3.5 g/cm3.

Entry 10:
Below is an optimized crystal structure of AcLa4Ag, with properties calculated at the GGA-PBE level.

a = 3.8286 Å, b = 3.8286 Å, c = 14.3116 Å
α = 90.00°, β = 90.00°, γ = 90.00°
Last column: nearest neighbours and their distance in Å.
Positions (direct):
Ac: 0.0000 0.0000 0.0000  4 Ac 3.83, 8 La 3.86
La: 0.0000 0.0000 0.3675  4 Ag 3.31, 4 La 3.69
La: 0.0000 0.0000 0.6325  4 Ag 3.31, 4 La 3.69
La: 0.5000 0.5000 0.1923  8 La 3.69-3.83, 4 Ac 3.86
La: 0.5000 0.5000 0.8077  8 La 3.69-3.83, 4 Ac 3.86
Ag: 0.5000 0.5000 0.5000  8 La 3.31

Calculated values
The value obtained for the density of states at the Fermi level is 10.06 states/eV per cell. Its symmetry is P4/mmm (123). The value obtained for the calculated density is 7.0 g/cm3. The calculated formation energy comes out at -7 kJ/mol of atoms.

Entry 11:
Below is an optimized crystal structure of HfMg2ReSi, with properties calculated at the GGA-PBE level.

a = 5.1291 Å, b = 5.1291 Å, c = 4.7850 Å
α = 90.00°, β = 90.00°, γ = 90.00°
Last column: nearest neighbours and their distance in Å.
Positions (direct):
Hf: 0.0000 0.0000 0.0000  2 Si 2.39, 4 Mg 2.56
Mg: 0.0000 0.5000 0.0000  2 Hf 2.56
Mg: 0.5000 0.0000 0.0000  2 Hf 2.56
Re: 0.5000 0.5000 0.5000  8 Mg 3.51, 4 Si 3.63
Si: 0.0000 0.0000 0.5000  2 Hf 2.39

Calculated values
The value obtained for the total energy is -4.01 eV/atom. The value obtained for the density of states at the Fermi level is 13.79 states/eV per cell. Its symmetry is P4/mmm (123). The value obtained for the calculated density is 5.8 g/cm3.

Entry 12:
Below is an optimized crystal structure of Ca7NbSi2N9, with properties calculated at the GGA-PBE level.

a = 6.0647 Å, b = 9.9583 Å, c = 9.0288 Å
α = 90.00°, β = 91.90°, γ = 90.00°
Last column: nearest neighbours and their distance in Å.
Positions (direct):
Ca: 0.0681 0.0565 0.1660  4 N 2.44-2.61
Ca: 0.0681 0.4435 0.1660  4 N 2.44-2.61
Ca: 0.2507 0.5774 0.4950  5 N 2.35-2.63
Ca: 0.2507 0.9226 0.4950  5 N 2.35-2.63
Ca: 0.4097 0.7500 0.8013  5 N 2.37-2.41
Ca: 0.4307 0.0781 0.8313  6 N 2.46-2.71
Ca: 0.4307 0.4219 0.8313  6 N 2.46-2.71
Ca: 0.5693 0.5781 0.1687  6 N 2.46-2.71
Ca: 0.5693 0.9219 0.1687  6 N 2.46-2.71
Ca: 0.5903 0.2500 0.1987  5 N 2.37-2.41
Ca: 0.7493 0.0774 0.5050  5 N 2.35-2.63
Ca: 0.7493 0.4226 0.5050  5 N 2.35-2.63
Ca: 0.9319 0.5565 0.8340  4 N 2.44-2.61
Ca: 0.9319 0.9435 0.8340  4 N 2.44-2.61
Nb: 0.2203 0.2500 0.4377  3 N 1.91-2.03
Nb: 0.7797 0.7500 0.5623  3 N 1.91-2.03
Si: 0.0411 0.2500 0.7221  4 N 1.73-1.80
Si: 0.1760 0.7500 0.0620  4 N 1.75-1.82
Si: 0.8240 0.2500 0.9380  4 N 1.75-1.82
Si: 0.9589 0.7500 0.2779  4 N 1.73-1.80
N: 0.0584 0.7500 0.6678  1 Nb 1.91
N: 0.1203 0.2500 0.9157  2 Si 1.80-1.81
N: 0.1339 0.1094 0.6306  1 Si 1.73
N: 0.1339 0.3906 0.6306  1 Si 1.73
N: 0.2535 0.7500 0.2587  2 Si 1.80-1.82
N: 0.2675 0.6005 0.9816  1 Si 1.75
N: 0.2675 0.8995 0.9816  1 Si 1.75
N: 0.3848 0.0979 0.3415  1 Nb 2.03
N: 0.3848 0.4021 0.3415  1 Nb 2.03
N: 0.6152 0.5979 0.6585  1 Nb 2.03
N: 0.6152 0.9021 0.6585  1 Nb 2.03
N: 0.7325 0.1005 0.0184  1 Si 1.75
N: 0.7325 0.3995 0.0184  1 Si 1.75
N: 0.7465 0.2500 0.7413  2 Si 1.80-1.82
N: 0.8661 0.6094 0.3694  1 Si 1.73
N: 0.8661 0.8906 0.3694  1 Si 1.73
N: 0.8797 0.7500 0.0843  2 Si 1.80-1.81
N: 0.9416 0.2500 0.3322  1 Nb 1.91

Calculated values
The value obtained for the total energy is -6.97 eV/atom. The value obtained for the density of states at the Fermi level is 0.00 states/eV per cell. Its symmetry is P2_1/m (11). The value obtained for the calculated density is 3.4 g/cm3.

Q: Among the records above, which one has the highest density of states at the Fermi level?
A: Ce2SmSe3